A relaxed Te2IrPtI crystal, computed with PBE.

Cell and atoms, written as extended XYZ:
```
5
Lattice="5.152 0.000 0.000 0.000 5.152 0.000 0.000 0.000 5.431" Properties=species:S:1:pos:R:3 pbc="T T T"
I 0.000 0.000 2.716
Ir 0.000 0.000 0.000
Te 0.000 2.576 0.000
Te 2.576 0.000 0.000
Pt 2.576 2.576 2.716
```

E	-17.796	eV per formula unit
energy above the most stable polymorph in this dataset	0.000	eV per formula unit
DOS at the Fermi energy	8.9	states/eV/cell
raw formation energy	987.8	meV/atom